Compound: Sm3TlSn
Source: the Alexandria database
Functional: PBE
Structure: relaxed

```
Sm3TlSn
1.0
5.982 -5.782 0.000
5.982 5.782 0.000
-0.001 0.000 9.102
Sm Tl Sn
12 4 4
Cartesian
4.919 4.522 8.368
2.991 2.040 6.151
7.045 4.522 5.286
4.914 1.258 0.734
2.991 -2.040 1.600
7.050 1.258 3.817
4.914 -1.258 5.285
8.973 2.040 7.502
7.050 -1.258 8.368
4.920 -4.522 3.817
8.973 -2.040 2.951
7.045 -4.522 0.734
2.986 0.590 3.326
2.986 -0.590 7.877
8.979 0.590 1.225
8.978 -0.590 5.776
5.982 4.126 2.276
5.982 1.651 6.827
5.982 -1.651 2.276
5.982 -4.126 6.827
```

Calculated total energy, eV/f.u.: -22.5

Compound: Th2Cd12Ag5
Source: the Alexandria database
Functional: PBE
Structure: relaxed

```
Th2Cd12Ag5
1.0
4.967 2.867 4.885
-4.967 2.867 4.885
0.000 -5.735 4.885
Th Cd Ag
2 12 5
Cartesian
0.000 0.000 2.385
0.000 0.000 12.270
0.000 -2.897 4.626
-2.509 1.449 4.626
-1.470 -2.545 7.328
-2.939 0.000 7.328
-2.509 -1.449 10.029
1.470 -2.545 7.328
-1.470 2.545 7.328
2.509 1.449 4.626
2.939 0.000 7.328
1.470 2.545 7.328
2.509 -1.449 10.029
0.000 2.897 10.029
-2.483 -1.434 4.885
0.000 0.000 5.752
-2.483 1.434 9.770
0.000 2.867 4.885
0.000 0.000 8.903
```

Calculated total energy, eV/f.u.: -41.7

Calculated DOS(E_F) in order - 0.978 0.484 states/eV per atom
Calculated spin magnetization in order - 0.00 0.00 μB per formula unit